# 1
TaTl2Au | PBE | optimized geometry

The value obtained for the volume is 256 Å³ per cell. Its formation energy is 1.862 eV/f.u. The offset from the most stable computed form comes out at 183.2 meV/atom. As for the total magnetization: 0.0 μB/f.u.

It has space group R-3m (No. 166, hexagonal axes), with a = 3.1755 Å, b = 3.1755 Å, c = 29.3676 Å, α = 90.00°, β = 90.00° and γ = 120.00°. Symmetry generates all atoms from Ta at (0.0000, 0.0000, 0.0000), Tl at (0.0000, 0.0000, 0.2497) and Au at (0.0000, 0.0000, 0.5000).

---

# 2
Ta2TlAu | PBE | optimized geometry

The value obtained for the volume is 76 Å³ per cell. Its formation energy is 1.215 eV/f.u. As for the total magnetization: 0.0 μB/f.u.

It has space group P2/m (No. 10), with a = 2.953 Å, b = 4.400 Å, c = 5.828 Å, α = 90.00°, β = 90.10° and γ = 90.00°. Symmetry generates all atoms from Ta at (0.003, 0.000, 0.258), Tl at (0.500, 0.500, 0.000) and Au at (0.500, 0.500, 0.500).

---

# 3
Ta2TlAu | PBE | optimized geometry

The value obtained for the volume is 76 Å³ per cell. Its formation energy is 1.087 eV/f.u. As for the total magnetization: 0.0 μB/f.u.

It has space group P4/mmm (No. 123), with a = 4.120 Å, b = 4.120 Å, c = 4.452 Å, α = 90.00°, β = 90.00° and γ = 90.00°. Symmetry generates all atoms from Ta at (0.000, 0.500, 0.000), Tl at (0.000, 0.000, 0.500) and Au at (0.500, 0.500, 0.500).

---

# 4
Ta2TlAu | PBE | optimized geometry

The value obtained for the volume is 155 Å³ per cell. Its formation energy is 1.229 eV/f.u. As for the total magnetization: 0.0 μB/f.u.

It has space group C2/m (No. 12), with a = 10.011 Å, b = 3.079 Å, c = 5.141 Å, α = 90.00°, β = 101.48° and γ = 90.00°. Symmetry generates all atoms from Ta at (0.246, 0.000, 0.230), Tl at (0.000, 0.000, 0.500) and Au at (0.000, 0.500, 0.000).

---

# 5
Ta2TlAu | PBE | optimized geometry

The value obtained for the volume is 157 Å³ per cell. Its formation energy is 1.389 eV/f.u. As for the total magnetization: 0.0 μB/f.u.

It has space group Imm2 (No. 44), with a = 3.095 Å, b = 5.077 Å, c = 9.992 Å, α = 90.00°, β = 90.00° and γ = 90.00°. Symmetry generates all atoms from Ta at (0.000, 0.000, 0.000), Ta at (0.000, 0.500, 0.270), Tl at (0.000, 0.500, 0.775) and Au at (0.000, 0.000, 0.534).

---

# 6
TaTl2Au | PBE | optimized geometry

The value obtained for the volume is 85 Å³ per cell. Its formation energy is 2.062 eV/f.u. The offset from the most stable computed form comes out at 233.2 meV/atom. As for the total magnetization: 0.0 μB/f.u.

It has space group P4/mmm (No. 123), with a = 3.058 Å, b = 3.058 Å, c = 9.088 Å, α = 90.00°, β = 90.00° and γ = 90.00°. Symmetry generates all atoms from Ta at (0.000, 0.000, 0.000), Tl at (0.500, 0.500, 0.248) and Au at (0.000, 0.000, 0.500).

---

# 7
Ta2TlAu | PBE | optimized geometry

The value obtained for the volume is 156 Å³ per cell. Its formation energy is 1.375 eV/f.u. As for the total magnetization: 0.0 μB/f.u.

It has space group Cm (No. 8), with a = 10.241 Å, b = 2.990 Å, c = 5.241 Å, α = 90.00°, β = 103.55° and γ = 90.00°. Symmetry generates all atoms from Ta at (0.000, 0.000, 0.000), Ta at (0.231, 0.500, 0.212), Tl at (0.498, 0.000, 0.496) and Au at (0.258, 0.000, 0.745).

---

# 8
TaTlAu2 | PBE | optimized geometry

The value obtained for the volume is 159 Å³ per cell. Its formation energy is 1.176 eV/f.u. As for the total magnetization: 0.0 μB/f.u.

It has space group Imm2 (No. 44), with a = 2.963 Å, b = 5.236 Å, c = 10.259 Å, α = 90.00°, β = 90.00° and γ = 90.00°. Symmetry generates all atoms from Ta at (0.000, 0.000, 0.000), Tl at (0.000, 0.500, 0.756), Au at (0.000, 0.000, 0.516) and Au at (0.000, 0.500, 0.268).

---

# 9
Ta2TlAu | PBE | optimized geometry

The value obtained for the volume is 79 Å³ per cell. Its formation energy is 0.818 eV/f.u. As for the total magnetization: 0.0 μB/f.u.

It has space group P4mm (No. 99), with a = 2.934 Å, b = 2.934 Å, c = 9.174 Å, α = 90.00°, β = 90.00° and γ = 90.00°. Symmetry generates all atoms from Ta at (0.000, 0.000, 0.000), Ta at (0.500, 0.500, 0.239), Tl at (0.000, 0.000, 0.504) and Au at (0.500, 0.500, 0.778).

---

# 10
TaTlAu3 | PBE | optimized geometry

The value obtained for the volume is 142 Å³ per cell. Its formation energy is 3.216 eV/f.u. The offset from the most stable computed form comes out at 0.0 meV/atom. As for the total magnetization: 0.0 μB/f.u.

It has space group Pm-3m (No. 221), with a = 5.217 Å, b = 5.217 Å, c = 5.217 Å, α = 90.00°, β = 90.00° and γ = 90.00°. Symmetry generates all atoms from Ta at (0.000, 0.000, 0.000), Tl at (0.500, 0.500, 0.500) and Au at (0.000, 0.000, 0.500).

---

# 11
TaTlW2Au | PBE | optimized geometry

The value obtained for the volume is 126 Å³ per cell. Its formation energy is 10.302 eV/f.u. As for the total magnetization: 1.2 μB/f.u.

It has space group P4/mmm (No. 123), with a = 4.848 Å, b = 4.848 Å, c = 5.355 Å, α = 90.00°, β = 90.00° and γ = 90.00°. Symmetry generates all atoms from Ta at (0.000, 0.000, 0.000), Tl at (0.000, 0.000, 0.500), W at (0.000, 0.500, 0.000) and Au at (0.500, 0.500, 0.500).

---

# 12
TaVAu2 | PBE | optimized geometry

The value obtained for the volume is 279 Å³ per cell. Its formation energy is 0.707 eV/f.u. The offset from the most stable computed form comes out at 0.0 meV/atom. As for the total magnetization: 2.8 μB/f.u.

It has space group Fm-3m (No. 225), with a = 6.533 Å, b = 6.533 Å, c = 6.533 Å, α = 90.00°, β = 90.00° and γ = 90.00°. Symmetry generates all atoms from Ta at (0.000, 0.000, 0.000), V at (0.000, 0.000, 0.500) and Au at (0.250, 0.250, 0.250).

---

# 13
TaV2Au | PBE | optimized geometry

The value obtained for the volume is 63 Å³ per cell. Its formation energy is 0.020 eV/f.u. The offset from the most stable computed form comes out at 0.0 meV/atom. As for the total magnetization: 0.0 μB/f.u.

It has space group P4/mmm (No. 123), with a = 3.226 Å, b = 3.226 Å, c = 6.089 Å, α = 90.00°, β = 90.00° and γ = 90.00°. Symmetry generates all atoms from Ta at (0.000, 0.000, 0.000), V at (0.500, 0.500, 0.233) and Au at (0.000, 0.000, 0.500).

---

# 14
TaV2Au | PBE | optimized geometry

The value obtained for the volume is 273 Å³ per cell. Its formation energy is 2.383 eV/f.u. The offset from the most stable computed form comes out at 590.8 meV/atom. As for the total magnetization: 0.0 μB/f.u.

It has space group I-42d (No. 122), with a = 7.143 Å, b = 7.143 Å, c = 5.361 Å, α = 90.00°, β = 90.00° and γ = 90.00°. Symmetry generates all atoms from Ta at (0.000, 0.000, 0.000), V at (0.246, 0.750, 0.625) and Au at (0.000, 0.000, 0.500).

---

# 15
TaV2Au | PBE | optimized geometry

The value obtained for the volume is 250 Å³ per cell. Its formation energy is 0.460 eV/f.u. The offset from the most stable computed form comes out at 110.0 meV/atom. As for the total magnetization: 0.0 μB/f.u.

It has space group Fm-3m (No. 225), with a = 6.298 Å, b = 6.298 Å, c = 6.298 Å, α = 90.00°, β = 90.00° and γ = 90.00°. Symmetry generates all atoms from Ta at (0.000, 0.000, 0.000), V at (0.250, 0.250, 0.250) and Au at (0.000, 0.000, 0.500).

---

# 16
TaVAu2 | PBE | optimized geometry

The value obtained for the volume is 290 Å³ per cell. Its formation energy is 1.938 eV/f.u. The offset from the most stable computed form comes out at 307.8 meV/atom. As for the total magnetization: 0.5 μB/f.u.

It has space group I-42d (No. 122), with a = 7.377 Å, b = 7.377 Å, c = 5.331 Å, α = 90.00°, β = 90.00° and γ = 90.00°. Symmetry generates all atoms from Ta at (0.000, 0.000, 0.000), V at (0.000, 0.000, 0.500) and Au at (0.236, 0.750, 0.625).

---

# 17
TaV4Au | PBE | optimized geometry

The value obtained for the volume is 357 Å³ per cell. Its formation energy is 0.166 eV/f.u. As for the total magnetization: 0.0 μB/f.u.

It has space group F-43m (No. 216), with a = 7.094 Å, b = 7.094 Å, c = 7.094 Å, α = 90.00°, β = 90.00° and γ = 90.00°. Symmetry generates all atoms from Ta at (0.000, 0.000, 0.000), V at (0.128, 0.128, 0.628) and Au at (0.250, 0.250, 0.250).

---

# 18
ZrTaV2Au | PBE | optimized geometry

The value obtained for the volume is 115 Å³ per cell. Its formation energy is 6.761 eV/f.u. As for the total magnetization: 4.2 μB/f.u.

It has space group P4/mmm (No. 123), with a = 4.788 Å, b = 4.788 Å, c = 5.004 Å, α = 90.00°, β = 90.00° and γ = 90.00°. Symmetry generates all atoms from Zr at (0.000, 0.000, 0.000), Ta at (0.500, 0.500, 0.000), V at (0.000, 0.500, 0.500) and Au at (0.500, 0.500, 0.500).

---

# 19
Ta5W4Au | PBE | optimized geometry

The value obtained for the volume is 173 Å³ per cell. Its formation energy is -0.614 eV/f.u. As for the total magnetization: 0.0 μB/f.u.

It has space group P4/mmm (No. 123), with a = 3.269 Å, b = 3.269 Å, c = 16.194 Å, α = 90.00°, β = 90.00° and γ = 90.00°. Symmetry generates all atoms from Ta at (0.000, 0.000, 0.000), Ta at (0.000, 0.000, 0.199), Ta at (0.000, 0.000, 0.392), W at (0.500, 0.500, 0.099), W at (0.500, 0.500, 0.299) and Au at (0.500, 0.500, 0.500).

---

# 20
TaW3Au | PBE | optimized geometry

The value obtained for the volume is 109 Å³ per cell. Its formation energy is 13.217 eV/f.u. The offset from the most stable computed form comes out at 382.0 meV/atom. As for the total magnetization: 0.0 μB/f.u.

It has space group Pm-3m (No. 221), with a = 4.783 Å, b = 4.783 Å, c = 4.783 Å, α = 90.00°, β = 90.00° and γ = 90.00°. Symmetry generates all atoms from Ta at (0.000, 0.000, 0.000), W at (0.000, 0.500, 0.500) and Au at (0.500, 0.500, 0.500).